DFT (GGA-PBEsol) results for a relaxed YTa2Be crystal.

Unit cell a=5.5786 b=9.9170 c=2.9796 alpha=90.00 beta=117.77 gamma=90.00
With the nearest neighbours (Å) after each atom.
Space group C2/m (No. 12)
Symmetry-distinct sites (fractional):
Y 0.0000 0.0000 0.0000 [2 per cell]  4 Be 2.79-2.99, 4 Ta 2.89, 2 Y 2.98
Ta 0.2500 0.2500 0.5000 [4 per cell]  6 Ta 2.79-2.99, 2 Be 2.89, 2 Y 2.89
Be 0.0000 0.5000 0.0000 [2 per cell]  4 Y 2.79-2.99, 4 Ta 2.89, 2 Be 2.98

Calculated values
total magnetization: 0.00 μB per atom
ΔH_f (0 K): 0.528 eV/atom
calculated total energy: -8.453 eV/atom
energy above the lowest structure with this stoichiometry: 109.3 meV/atom